1.
VASP calculation (PBE) on an optimized crystal structure of CaInMo.

Properties
For the offset from the most stable computed form, the calculation gives 0.110 eV/atom. Its calculated formation energy is 0.488 eV/atom.

POSCAR file:
```
CaInMo
1.0
5.0541 0.0000 0.0000
-2.5271 4.3770 0.0000
0.0000 0.0000 2.9553
Ca In Mo
1 1 1
Cartesian
0.0000 0.0000 0.0000
2.5271 1.4590 1.3055
0.0000 2.9180 1.8057
```


2.
VASP calculation (PBE) on an optimized crystal structure of CaInMo.

Properties
For the offset from the most stable computed form, the calculation gives 0.000 eV/atom. Its calculated formation energy is 0.378 eV/atom.

POSCAR file:
```
CaInMo
1.0
4.2215 0.0000 0.0000
0.0000 4.2374 0.0000
0.0000 0.0000 14.5730
Ca In Mo
4 4 4
Cartesian
0.0000 0.0000 0.0000
0.0000 2.1187 7.2865
2.1108 0.0000 7.2865
2.1108 2.1187 0.0000
0.0000 0.0000 9.9549
0.0000 2.1187 2.6684
2.1108 0.0000 2.6684
2.1108 2.1187 9.9549
0.0000 0.0000 4.8071
0.0000 2.1187 12.0937
2.1108 0.0000 12.0937
2.1108 2.1187 4.8071
```


3.
VASP calculation (PBE) on an optimized crystal structure of CaIn2Mo.

Properties
For the offset from the most stable computed form, the calculation gives 0.431 eV/atom. Its calculated formation energy is 0.534 eV/atom.

POSCAR file:
```
CaIn2Mo
1.0
7.2346 0.0000 0.0000
0.0000 7.2346 0.0000
0.0000 0.0000 7.2346
Ca In Mo
4 8 4
Cartesian
0.0000 0.0000 0.0000
0.0000 3.6173 3.6173
3.6173 0.0000 3.6173
3.6173 3.6173 0.0000
0.0000 0.0000 3.6173
0.0000 3.6173 0.0000
1.8086 1.8086 5.4259
1.8086 5.4259 1.8086
3.6173 0.0000 0.0000
3.6173 3.6173 3.6173
5.4259 1.8086 1.8086
5.4259 5.4259 5.4259
1.8086 1.8086 1.8086
1.8086 5.4259 5.4259
5.4259 1.8086 5.4259
5.4259 5.4259 1.8086
```


4.
VASP calculation (PBE) on an optimized crystal structure of CaIn2Mo.

Properties
For the offset from the most stable computed form, the calculation gives 0.255 eV/atom. Its calculated formation energy is 0.357 eV/atom.

POSCAR file:
```
CaIn2Mo
1.0
3.6603 0.0000 0.0000
0.0000 3.6603 0.0000
0.0000 0.0000 7.3239
Ca In Mo
1 2 1
Cartesian
0.0000 0.0000 0.0000
0.0000 0.0000 4.1954
1.8301 1.8301 2.3107
1.8301 1.8301 5.2622
```


5.
VASP calculation (PBE) on an optimized crystal structure of Ca2InMoN4.

Properties
Its uncorrected formation energy is -0.614 eV per atom.

POSCAR file:
```
Ca2InMoN4
1.0
7.6862 0.0000 0.0000
0.0000 6.2974 0.0000
0.0000 0.0000 5.5620
Ca In Mo N
4 2 2 8
Cartesian
1.9175 1.1620 0.0000
1.9256 5.1354 2.7810
5.7606 5.1354 2.7810
5.7688 1.1620 0.0000
0.0000 4.3448 0.0087
3.8431 1.9526 2.7897
0.0000 2.0986 2.8979
3.8431 4.1988 0.1169
0.0000 2.2773 4.7655
0.0000 3.8475 2.1857
1.5851 1.1641 2.4269
2.2580 5.1332 5.2079
3.8431 2.4499 4.9667
3.8431 4.0200 1.9845
5.4282 5.1332 5.2079
6.1012 1.1641 2.4269
```


6.
VASP calculation (PBE) on an optimized crystal structure of CaIn2MoN4.

Properties
Its uncorrected formation energy is -0.227 eV per atom.

POSCAR file:
```
CaIn2MoN4
1.0
5.1232 0.0000 0.0000
0.0000 5.1232 0.0000
0.0000 0.0000 10.1136
Ca In Mo N
2 4 2 8
Cartesian
0.0000 0.0000 0.0000
2.5616 2.5616 5.0568
0.0000 2.5616 2.5284
0.0000 2.5616 7.5852
2.5616 0.0000 2.5284
2.5616 0.0000 7.5852
0.0000 0.0000 5.0568
2.5616 2.5616 0.0000
1.0822 1.0822 3.9004
1.0822 4.0410 6.2132
1.4794 1.4794 8.9572
1.4794 3.6438 1.1564
3.6438 1.4794 1.1564
3.6438 3.6438 8.9572
4.0410 1.0822 6.2132
4.0410 4.0410 3.9004
```


7.
VASP calculation (PBE) on an optimized crystal structure of CaIn2MoOs.

Properties
Its calculated formation energy is 2.487 eV/atom.

POSCAR file:
```
CaIn2MoOs
1.0
5.2216 0.0000 0.0000
0.0000 5.2216 0.0000
0.0000 0.0000 4.4838
Ca In Mo Os
1 2 1 1
Cartesian
0.0000 0.0000 0.0000
0.0000 2.6108 0.0000
2.6108 0.0000 0.0000
0.0000 0.0000 2.2419
2.6108 2.6108 2.2419
```


8.
VASP calculation (PBE) on an optimized crystal structure of CaIn2MoP.

Properties
Its calculated formation energy is 1.371 eV/atom.

POSCAR file:
```
CaIn2MoP
1.0
5.7050 0.0000 0.0000
0.0000 5.7050 0.0000
0.0000 0.0000 5.1135
Ca In Mo P
1 2 1 1
Cartesian
0.0000 0.0000 0.0000
0.0000 2.8525 0.0000
2.8525 0.0000 0.0000
2.8525 2.8525 2.5567
0.0000 0.0000 2.5567
```


9.
VASP calculation (PBE) on an optimized crystal structure of CaInMo2Pt.

Properties
Its calculated formation energy is 1.989 eV/atom.

POSCAR file:
```
CaInMo2Pt
1.0
4.7102 0.0000 0.0000
0.0000 4.7102 0.0000
0.0000 0.0000 4.8806
Ca In Mo Pt
1 1 2 1
Cartesian
0.0000 0.0000 0.0000
2.3551 2.3551 2.4403
0.0000 2.3551 0.0000
2.3551 0.0000 0.0000
0.0000 0.0000 2.4403
```


10.
VASP calculation (PBE) on an optimized crystal structure of Ca2ZnInMo.

Properties
Its calculated formation energy is 0.878 eV/atom.

POSCAR file:
```
Ca2ZnInMo
1.0
5.9170 0.0000 0.0000
0.0000 5.9170 0.0000
0.0000 0.0000 5.2500
Ca Zn In Mo
2 1 1 1
Cartesian
0.0000 2.9585 0.0000
2.9585 0.0000 0.0000
0.0000 0.0000 2.6250
2.9585 2.9585 0.0000
2.9585 2.9585 2.6250
```


11.
VASP calculation (PBE) on an optimized crystal structure of CaInN3.

Properties
Its uncorrected formation energy is 1.042 eV per atom.

POSCAR file:
```
CaInN3
1.0
4.2485 0.0000 0.0000
0.0000 4.2485 0.0000
0.0000 0.0000 4.2485
Ca In N
1 1 3
Cartesian
0.0000 0.0000 0.0000
2.1243 2.1243 2.1243
0.0000 2.1243 2.1243
2.1243 0.0000 2.1243
2.1243 2.1243 0.0000
```


12.
VASP calculation (PBE) on an optimized crystal structure of Ca9In3N2.

Properties
Its uncorrected formation energy is -0.585 eV per atom.

POSCAR file:
```
Ca9In3N2
1.0
7.0968 0.0000 0.0000
-3.5484 6.1460 0.0000
0.0000 0.0000 8.7188
Ca In N
9 3 2
Cartesian
-1.7742 3.0730 0.0000
0.0000 2.1577 5.9388
-1.6797 5.0671 5.9388
1.8686 1.0789 2.7800
3.5484 0.0000 0.0000
1.7742 3.0730 0.0000
1.6797 5.0671 5.9388
5.2281 1.0789 2.7800
3.5484 3.9883 2.7800
0.0000 0.0000 0.0000
0.0000 4.0973 2.9741
3.5484 2.0487 5.7447
0.0000 4.0973 7.2620
3.5484 2.0487 1.4568
```


What did the second record say?
VASP calculation (PBE) on an optimized crystal structure of CaInMo.

Properties
For the offset from the most stable computed form, the calculation gives 0.000 eV/atom. Its calculated formation energy is 0.378 eV/atom.

POSCAR file:
```
CaInMo
1.0
4.2215 0.0000 0.0000
0.0000 4.2374 0.0000
0.0000 0.0000 14.5730
Ca In Mo
4 4 4
Cartesian
0.0000 0.0000 0.0000
0.0000 2.1187 7.2865
2.1108 0.0000 7.2865
2.1108 2.1187 0.0000
0.0000 0.0000 9.9549
0.0000 2.1187 2.6684
2.1108 0.0000 2.6684
2.1108 2.1187 9.9549
0.0000 0.0000 4.8071
0.0000 2.1187 12.0937
2.1108 0.0000 12.0937
2.1108 2.1187 4.8071
```